This record from Alexandria via LeMat-Bulk describes Pm3CuAg after structural relaxation. The functional is GGA-PBE.

As for the total energy: -4.385 eV per atom. For the relative energy among the computed polymorphs, the calculation gives 0.000 eV/atom. The energy of formation from the pure elements comes out at -145 meV/atom.

The space group is Cmcm (No. 63) and the conventional cell measures 5.163, 19.970 and 5.173 Å, with angles of 90.00, 90.00 and 90.00 degrees. The asymmetric unit holds Pm at (0.000, 0.067, 0.250), Pm at (0.000, 0.250, 0.250), Pm at (0.000, 0.433, 0.250), Cu at (0.000, 0.159, 0.750) and Ag at (0.000, 0.341, 0.750).

=====

This record from Alexandria via LeMat-Bulk describes PmCu10Ag after structural relaxation. The functional is GGA-PBE.

As for the total energy: -4.077 eV per atom. The energy of formation from the pure elements comes out at -30 meV/atom.

The space group is Pmmm (No. 47) and the conventional cell measures 4.105, 4.970 and 8.623 Å, with angles of 90.00, 90.00 and 90.00 degrees. The asymmetric unit holds Pm at (0.000, 0.000, 0.000), Cu at (0.000, 0.000, 0.345), Cu at (0.000, 0.500, 0.185), Cu at (0.500, 0.000, 0.500), Cu at (0.500, 0.249, 0.252), Cu at (0.500, 0.500, 0.000) and Ag at (0.000, 0.500, 0.500).